Record 1
A plane-wave DFT calculation with meta-GGA SCAN was carried out for SiGeTeI2 at its PBEsol-relaxed geometry.

Values from the calculation:
M_tot	0.000	μB/atom
DOS at the Fermi energy	0.33	states/eV/atom
crystal system	tetragonal
total DFT energy (no corrections)	-27.244	eV per atom

a b c (Å): 5.405 5.405 5.546
angles (deg): 90.00 90.00 90.00
Fractional coordinates of all 5 atoms:
Si 0.000 0.000 0.000
Ge 0.500 0.500 0.500
Te 0.500 0.500 0.000
I 0.000 0.500 0.500
I 0.500 0.000 0.500

Record 2
A plane-wave DFT calculation with meta-GGA SCAN was carried out for NaInBr2 at its PBEsol-relaxed geometry.

Values from the calculation:
energy above the lowest structure with this stoichiometry	0.00	eV per formula unit
M_tot	0.000	μB/atom
DOS at the Fermi energy	0.00	states/eV/atom
crystal system	tetragonal

a b c (Å): 8.313 8.313 8.313
angles (deg): 130.52 130.52 72.57
Fractional coordinates of all 8 atoms:
Na 0.000 0.000 0.000
Na 0.750 0.250 0.500
In 0.250 0.750 0.500
In 0.500 0.500 0.000
Br 0.088 0.625 0.963
Br 0.375 0.338 0.463
Br 0.662 0.125 0.037
Br 0.875 0.912 0.537

Record 3
A plane-wave DFT calculation with meta-GGA SCAN was carried out for Cu2TcNi at its PBEsol-relaxed geometry.

Values from the calculation:
formation enthalpy at 0 K	69	meV/atom
energy above the lowest structure with this stoichiometry	0.00	eV per formula unit
M_tot	0.000	μB/atom
DOS at the Fermi energy	0.72	states/eV/atom
crystal system	tetragonal

a b c (Å): 2.558 2.558 7.173
angles (deg): 90.00 90.00 90.00
Fractional coordinates of all 4 atoms:
Cu 0.000 0.000 0.000
Cu 0.500 0.500 0.242
Tc 0.500 0.500 0.726
Ni 0.000 0.000 0.481

Record 4
A plane-wave DFT calculation with meta-GGA SCAN was carried out for SrAs2Se at its PBEsol-relaxed geometry.

Values from the calculation:
M_tot	0.000	μB/atom
DOS at the Fermi energy	0.38	states/eV/atom
crystal system	cubic
total DFT energy (no corrections)	-21.034	eV per atom

a b c (Å): 5.055 5.055 5.055
angles (deg): 60.00 60.00 60.00
Fractional coordinates of all 4 atoms:
Sr 0.000 0.000 0.000
As 0.500 0.500 0.500
As 0.750 0.750 0.750
Se 0.250 0.250 0.250